Record 1
DFT (PBE) results for a relaxed YSiOs crystal.

Structure (CIF):
```
data_YSiOs
_chemical_formula_sum 'Y4 Si4 Os4'
_cell_length_a 6.457
_cell_length_b 6.457
_cell_length_c 6.457
_cell_angle_alpha 90.00
_cell_angle_beta 90.00
_cell_angle_gamma 90.00
_space_group_name_H-M_alt 'F -4 3 m'
_space_group_IT_number 216
_space_group_name_Hall 'F -4 2 3'
loop_
_atom_site_label
_atom_site_type_symbol
_atom_site_fract_x
_atom_site_fract_y
_atom_site_fract_z
Y1 Y 0.000 0.000 0.000
Si1 Si 0.250 0.250 0.250
Os1 Os 0.250 0.250 0.750
```

ΔE_f (raw): 0.8977 eV/atom
D(E_F): 2.78 states/eV/f.u.

***

Record 2
DFT (PBE) results for a relaxed CaFeBr2 crystal.

Structure (CIF):
```
data_CaFeBr2
_chemical_formula_sum 'Ca2 Fe2 Br4'
_cell_length_a 3.824
_cell_length_b 4.738
_cell_length_c 13.192
_cell_angle_alpha 90.00
_cell_angle_beta 90.00
_cell_angle_gamma 90.00
_space_group_name_H-M_alt 'I m m m'
_space_group_IT_number 71
_space_group_name_Hall '-I 2 2'
loop_
_atom_site_label
_atom_site_type_symbol
_atom_site_fract_x
_atom_site_fract_y
_atom_site_fract_z
Ca1 Ca 0.000 0.000 0.000
Fe1 Fe 0.000 0.000 0.500
Br1 Br 0.000 0.500 0.134
```

ΔE_f (raw): -0.5476 eV/atom
energy relative to the lowest polymorph listed for this composition: 0.054 eV per atom
D(E_F): 2.63 states/eV/f.u.

***

Record 3
DFT (PBE) results for a relaxed Cs3SbO crystal.

Structure (CIF):
```
data_Cs3SbO
_chemical_formula_sum 'Cs3 Sb1 O1'
_cell_length_a 5.967
_cell_length_b 5.967
_cell_length_c 5.967
_cell_angle_alpha 90.00
_cell_angle_beta 90.00
_cell_angle_gamma 90.00
_space_group_name_H-M_alt 'P m -3 m'
_space_group_IT_number 221
_space_group_name_Hall '-P 4 2 3'
loop_
_atom_site_label
_atom_site_type_symbol
_atom_site_fract_x
_atom_site_fract_y
_atom_site_fract_z
Cs1 Cs 0.000 0.000 0.500
Sb1 Sb 0.500 0.500 0.500
O1 O 0.000 0.000 0.000
```

ΔE_f (raw): -0.5216 eV/atom
D(E_F): 8.09 states/eV/f.u.

***

Record 4
DFT (PBE) results for a relaxed Np3ScIn3Te8 crystal.

Structure (CIF):
```
data_Np3ScIn3Te8
_chemical_formula_sum 'Np6 Sc2 In6 Te16'
_cell_length_a 15.048
_cell_length_b 8.697
_cell_length_c 9.574
_cell_angle_alpha 90.00
_cell_angle_beta 121.59
_cell_angle_gamma 90.00
_space_group_name_H-M_alt 'C 1 2/m 1'
_space_group_IT_number 12
_space_group_name_Hall '-C 2y'
loop_
_atom_site_label
_atom_site_type_symbol
_atom_site_fract_x
_atom_site_fract_y
_atom_site_fract_z
Np1 Np 0.000 0.000 0.000
Np2 Np 0.250 0.250 0.000
Sc1 Sc 0.000 0.500 0.000
In1 In 0.000 0.500 0.500
In2 In 0.250 0.250 0.500
Te1 Te 0.009 0.259 0.787
Te2 Te 0.232 0.500 0.213
Te3 Te 0.241 0.000 0.222
```

ΔE_f (raw): -0.6020 eV/atom
D(E_F): 27.65 states/eV/f.u.

***

Record 5
DFT (PBE) results for a relaxed LiDy3Pb5 crystal.

Structure (CIF):
```
data_LiDy3Pb5
_chemical_formula_sum 'Li2 Dy6 Pb10'
_cell_length_a 9.3461
_cell_length_b 9.3461
_cell_length_c 6.4844
_cell_angle_alpha 90.00
_cell_angle_beta 90.00
_cell_angle_gamma 120.00
_space_group_name_H-M_alt 'P 63/m c m'
_space_group_IT_number 193
_space_group_name_Hall '-P 6c 2'
loop_
_atom_site_label
_atom_site_type_symbol
_atom_site_fract_x
_atom_site_fract_y
_atom_site_fract_z
Li1 Li 0.0000 0.0000 0.0000
Dy1 Dy 0.0000 0.3830 0.2500
Pb1 Pb 0.0000 0.2685 0.7500
Pb2 Pb 0.3333 0.6667 0.0000
```

energy of formation from the pure elements: -0.346 eV/atom
D(E_F): 5.31 states/eV/f.u.

***

Record 6
DFT (PBE) results for a relaxed Nd2Er3S4 crystal.

Structure (CIF):
```
data_Nd2Er3S4
_chemical_formula_sum 'Nd4 Er6 S8'
_cell_length_a 12.880
_cell_length_b 3.882
_cell_length_c 9.626
_cell_angle_alpha 90.00
_cell_angle_beta 118.57
_cell_angle_gamma 90.00
_space_group_name_H-M_alt 'C 1 2/m 1'
_space_group_IT_number 12
_space_group_name_Hall '-C 2y'
loop_
_atom_site_label
_atom_site_type_symbol
_atom_site_fract_x
_atom_site_fract_y
_atom_site_fract_z
Nd1 Nd 0.099 0.000 0.405
Er1 Er 0.000 0.500 0.000
Er2 Er 0.204 0.500 0.804
S1 S 0.105 0.000 0.908
S2 S 0.197 0.500 0.289
```

ΔE_f (raw): -1.7524 eV/atom
D(E_F): 4.93 states/eV/f.u.

***

Record 7
DFT (PBE) results for a relaxed Pr16Sm7Y6 crystal.

Structure (CIF):
```
data_Pr16Sm7Y6
_chemical_formula_sum 'Pr64 Sm28 Y24'
_cell_length_a 16.186
_cell_length_b 16.186
_cell_length_c 16.186
_cell_angle_alpha 90.00
_cell_angle_beta 90.00
_cell_angle_gamma 90.00
_space_group_name_H-M_alt 'F m -3 m'
_space_group_IT_number 225
_space_group_name_Hall '-F 4 2 3'
loop_
_atom_site_label
_atom_site_type_symbol
_atom_site_fract_x
_atom_site_fract_y
_atom_site_fract_z
Pr1 Pr 0.125 0.125 0.125
Pr2 Pr 0.151 0.151 0.349
Sm1 Sm 0.000 0.000 0.000
Sm2 Sm 0.000 0.250 0.250
Y1 Y 0.000 0.000 0.268
```

energy of formation from the pure elements: 0.201 eV/atom
D(E_F): 40.37 states/eV/f.u.

***

Record 8
DFT (PBE) results for a relaxed BaAg2Te crystal.

Structure (CIF):
```
data_BaAg2Te
_chemical_formula_sum 'Ba1 Ag2 Te1'
_cell_length_a 4.249
_cell_length_b 4.249
_cell_length_c 6.628
_cell_angle_alpha 90.00
_cell_angle_beta 90.00
_cell_angle_gamma 90.00
_space_group_name_H-M_alt 'P 4/m m m'
_space_group_IT_number 123
_space_group_name_Hall '-P 4 2'
loop_
_atom_site_label
_atom_site_type_symbol
_atom_site_fract_x
_atom_site_fract_y
_atom_site_fract_z
Ba1 Ba 0.000 0.000 0.000
Ag1 Ag 0.500 0.500 0.283
Te1 Te 0.000 0.000 0.500
```

ΔE_f (raw): -0.2450 eV/atom
D(E_F): 0.83 states/eV/f.u.

***

Record 9
DFT (PBE) results for a relaxed Ta4ReOs crystal.

Structure (CIF):
```
data_Ta4ReOs
_chemical_formula_sum 'Ta4 Re1 Os1'
_cell_length_a 3.204
_cell_length_b 3.204
_cell_length_c 9.884
_cell_angle_alpha 90.00
_cell_angle_beta 90.00
_cell_angle_gamma 90.00
_space_group_name_H-M_alt 'P 4/m m m'
_space_group_IT_number 123
_space_group_name_Hall '-P 4 2'
loop_
_atom_site_label
_atom_site_type_symbol
_atom_site_fract_x
_atom_site_fract_y
_atom_site_fract_z
Ta1 Ta 0.000 0.000 0.161
Ta2 Ta 0.500 0.500 0.337
Re1 Re 0.500 0.500 0.000
Os1 Os 0.000 0.000 0.500
```

energy of formation from the pure elements: -0.335 eV/atom
energy relative to the lowest polymorph listed for this composition: 0.000 eV per atom
D(E_F): 2.46 states/eV/f.u.

***

Record 10
DFT (PBE) results for a relaxed K2RbLiHg crystal.

Structure (CIF):
```
data_K2RbLiHg
_chemical_formula_sum 'K2 Rb1 Li1 Hg1'
_cell_length_a 6.857
_cell_length_b 6.857
_cell_length_c 5.415
_cell_angle_alpha 90.00
_cell_angle_beta 90.00
_cell_angle_gamma 90.00
_space_group_name_H-M_alt 'P 4/m m m'
_space_group_IT_number 123
_space_group_name_Hall '-P 4 2'
loop_
_atom_site_label
_atom_site_type_symbol
_atom_site_fract_x
_atom_site_fract_y
_atom_site_fract_z
K1 K 0.000 0.500 0.000
Rb1 Rb 0.000 0.000 0.500
Li1 Li 0.500 0.500 0.000
Hg1 Hg 0.500 0.500 0.500
```

energy of formation from the pure elements: 0.012 eV/atom
energy relative to the lowest polymorph listed for this composition: 0.042 eV per atom
D(E_F): 3.43 states/eV/f.u.

***

- What is the formula in the fifth record?
  LiDy3Pb5

***

- Number 3 is which compound?
  Cs3SbO

***

- Look up the D(E_F) of the third one.
  8.09 states/eV/f.u.

***

- Look up the D(E_F) of the fifth one.
  5.31 states/eV/f.u.